1.
Computed, not measured: a relaxed BeZn2Pb crystal at the PBE level of DFT.

The structure in POSCAR format:
```
BeZn2Pb
1.0
-0.584 0.221 -6.091
-2.692 -4.243 3.498
-3.035 0.036 -0.650
Pb Zn Be
1 2 1
direct
0.000 0.500 0.500 Pb
0.500 0.500 0.000 Zn
0.000 0.000 0.000 Zn
0.500 0.000 0.500 Be
```

* space group: C2/m (12)
* E above lowest polymorph: 0.2536 eV per atom
* uncorrected energy: -0.074 Ha/atom
* magnetic moment: 0.00 μB per formula unit

***

2.
Computed, not measured: a relaxed BeZn2Pb crystal at the PBE level of DFT.

The structure in POSCAR format:
```
BeZn2Pb
1.0
4.104 0.001 0.036
2.049 3.555 0.036
2.103 1.216 5.301
Be Zn Pb
1 2 1
direct
0.429 0.429 0.711 Be
0.773 0.773 0.685 Zn
0.051 0.051 0.844 Zn
0.247 0.247 0.259 Pb
```

* space group: Cm (8)
* E above lowest polymorph: 0.0000 eV per atom
* uncorrected energy: -0.083 Ha/atom
* magnetic moment: 0.00 μB per formula unit

***

3.
Computed, not measured: a relaxed Be3ZnPb crystal at the PBE level of DFT.

The structure in POSCAR format:
```
Be3ZnPb
1.0
-1.476 4.453 -0.403
-2.319 -1.125 -3.940
-3.822 -1.037 2.546
Be Zn Pb
3 1 1
direct
0.000 0.500 0.000 Be
0.500 0.000 0.000 Be
0.000 0.000 0.500 Be
0.500 0.500 0.500 Zn
0.000 0.000 0.000 Pb
```

* space group: Pm-3m (221)
* E above lowest polymorph: 0.6292 eV per atom
* uncorrected energy: -0.068 Ha/atom
* magnetic moment: 0.00 μB per formula unit

***

4.
Computed, not measured: a relaxed Be2ZnPb crystal at the PBE level of DFT.

The structure in POSCAR format:
```
Be2ZnPb
1.0
2.969 0.000 0.000
0.000 3.048 0.000
0.000 0.000 7.278
Be Zn Pb
2 1 1
direct
0.500 0.500 0.162 Be
0.000 0.000 0.036 Be
0.500 0.500 0.835 Zn
0.000 0.000 0.467 Pb
```

* space group: Pmm2 (25)
* E above lowest polymorph: 0.2240 eV per atom
* uncorrected energy: -0.095 Ha/atom
* magnetic moment: 0.00 μB per formula unit

***

5.
Computed, not measured: a relaxed Be2ZnPb crystal at the PBE level of DFT.

The structure in POSCAR format:
```
Be2ZnPb
1.0
-1.905 -3.089 2.718
-3.654 1.086 2.456
-4.044 -1.760 -1.052
Pb Be Zn
1 2 1
direct
0.500 0.500 0.500 Pb
0.750 0.750 0.750 Be
0.250 0.250 0.250 Be
0.000 0.000 0.000 Zn
```

* space group: Fm-3m (225)
* E above lowest polymorph: 0.4582 eV per atom
* uncorrected energy: -0.087 Ha/atom
* magnetic moment: 0.00 μB per formula unit

***

6.
Computed, not measured: a relaxed BeZn2Pb crystal at the PBE level of DFT.

The structure in POSCAR format:
```
BeZn2Pb
1.0
-4.303 -1.111 1.576
-1.164 -4.517 0.693
-0.553 -1.646 4.384
Zn Pb Be
2 1 1
direct
0.250 0.250 0.250 Zn
0.000 0.000 0.000 Zn
0.750 0.750 0.750 Pb
0.500 0.500 0.500 Be
```

* space group: F-43m (216)
* E above lowest polymorph: 0.3044 eV per atom
* uncorrected energy: -0.072 Ha/atom
* magnetic moment: 0.00 μB per formula unit

***

7.
Computed, not measured: a relaxed BeZn2Pb crystal at the PBE level of DFT.

The structure in POSCAR format:
```
BeZn2Pb
1.0
-7.644 3.438 3.259
-8.802 1.178 1.414
-7.865 0.496 4.331
Zn Be Pb
2 1 1
direct
0.021 0.021 0.021 Zn
0.479 0.479 0.479 Zn
0.750 0.750 0.750 Be
0.250 0.250 0.250 Pb
```

* space group: R-3m (166)
* E above lowest polymorph: 0.1499 eV per atom
* uncorrected energy: -0.078 Ha/atom
* magnetic moment: 0.00 μB per formula unit

***

8.
Computed, not measured: a relaxed BeZnPb3 crystal at the PBE level of DFT.

The structure in POSCAR format:
```
BeZnPb3
1.0
-0.289 -3.913 -3.301
4.185 1.724 -2.409
2.948 -2.830 3.097
Pb Be Zn
3 1 1
direct
0.500 0.000 0.000 Pb
0.000 0.000 0.500 Pb
0.000 0.500 0.000 Pb
0.000 0.000 0.000 Be
0.500 0.500 0.500 Zn
```

* space group: Pm-3m (221)
* E above lowest polymorph: 0.0000 eV per atom
* uncorrected energy: -0.102 Ha/atom
* magnetic moment: 0.00 μB per formula unit